This record from the Alexandria database describes an optimized crystal structure of CaVF2. The functional is PBE with a Hubbard U. Values from VASP.

The structure in Quantum ESPRESSO input format:
```
&SYSTEM
  ibrav = 0, nat = 8, ntyp = 3
/
ATOMIC_SPECIES
Ca 40.08 Ca.upf
F 19.00 F.upf
V 50.94 V.upf
CELL_PARAMETERS angstrom
-3.7729 0.4835 -3.6044
2.8715 -2.7910 -3.3802
-2.8319 -5.8580 -1.6309
ATOMIC_POSITIONS crystal
Ca 0.2500 0.7500 0.5000
F 0.1439 0.6250 0.2500
F 0.6061 0.1250 0.2500
Ca 0.5000 0.5000 0.0000
F 0.8750 0.8561 0.7500
V 0.7500 0.2500 0.5000
F 0.3750 0.3939 0.7500
V 0.0000 0.0000 0.0000
```

- crystal system = tetragonal
- distance to the lowest polymorph of the same formula (meV per atom) = 374
- SG = I-42d (122)
- calculated total energy (eV/atom) = -5.11